Record 1
Here is SrLa2PrS4 after structural relaxation from Alexandria via LeMat-Bulk. Energies are from PBE-GGA.

a b c (Å): 7.2085 4.1501 7.2415
angles (deg): 90.00 109.22 90.00
Atoms (fractional coordinates):
Sr1 0.0000 0.0000 0.0000
La1 0.5000 0.0000 0.5000
La2 0.5000 0.5000 0.0000
Pr1 0.0000 0.5000 0.5000
S1 0.2495 0.0000 0.7486
S2 0.2517 0.5000 0.2526
S3 0.7483 0.5000 0.7474
S4 0.7505 0.0000 0.2514

Computed properties:
- total magnetization (μB per atom) = 0.0000
- crystal system = monoclinic

=====

Record 2
Here is La2Tb3PrS6 after structural relaxation from Alexandria via LeMat-Bulk. Energies are from PBE-GGA.

a b c (Å): 9.0459 9.0459 8.1566
angles (deg): 104.08 104.08 25.49
Atoms (fractional coordinates):
La1 0.1659 0.1659 0.3318
La2 0.8341 0.8341 0.6682
Tb1 0.1665 0.1665 0.8332
Tb2 0.5000 0.5000 0.5000
Tb3 0.8335 0.8335 0.1668
Pr1 0.5000 0.5000 0.0000
S1 0.0043 0.0043 0.7407
S2 0.3298 0.3298 0.9279
S3 0.3372 0.3372 0.4067
S4 0.6628 0.6628 0.5933
S5 0.6702 0.6702 0.0721
S6 0.9957 0.9957 0.2593

Computed properties:
- total magnetization (μB per atom) = 0.0000
- crystal system = monoclinic

=====

Number 1: formation energy without anion corrections -16.77 eV per formula unit, D(E_F) 3.85 states/eV/cell. Number 2: formation energy without anion corrections -24.83 eV per formula unit, D(E_F) 5.59 states/eV/cell.